KMnAl2: relaxed, PBE.

The structure in extended XYZ format:
```
8
Lattice="-2.6718 2.6718 8.7139 2.6718 -2.6718 8.7139 2.6718 2.6718 -8.7139" Properties=species:S:1:pos:R:3 pbc="T T T"
K 2.6718 1.3359 2.1785
K 0.0000 1.3359 6.5354
Mn 2.6718 -1.3359 6.5354
Mn 0.0000 4.0078 2.1785
Al 0.0000 0.0000 0.0000
Al 1.3359 1.3359 -4.3569
Al 1.3359 -1.3359 4.3569
Al 0.0000 2.6718 0.0000
```

Spin magnetization (μB per atom): 0.852
Energy of formation (eV/atom): 0.570
Volume (Å³ per cell): 248.8
Space-group type: No. 141